# RbMn2F PBE with a Hubbard U relaxed
# VASP energy ... -4.60 eV per atom
data_RbMn2F
_space_group_name_H-M_alt 'I 41/a m d'
_space_group_IT_number 141
_cell_length_a 7.235
_cell_length_b 7.235
_cell_length_c 10.420
_cell_angle_alpha 90.00
_cell_angle_beta 90.00
_cell_angle_gamma 90.00
loop_
_space_group_symop_operation_xyz
'x,y,z'
'-x,-y,-z'
'-y+1/4,x+3/4,z+1/4'
'y+1/4,-x+3/4,-z+1/4'
'-x+1/2,-y,z+1/2'
'x+1/2,y,-z+1/2'
'y+1/4,-x+1/4,z+3/4'
'-y+1/4,x+1/4,-z+3/4'
'x,-y,-z'
'-x,y,z'
'-y+1/4,-x+1/4,-z+3/4'
'y+1/4,x+1/4,z+3/4'
'-x+1/2,y,-z+1/2'
'x+1/2,-y,z+1/2'
'y+1/4,x+3/4,-z+1/4'
'-y+1/4,-x+3/4,z+1/4'
'x+1/2,y+1/2,z+1/2'
'-x+1/2,-y+1/2,-z+1/2'
'-y+3/4,x+1/4,z+3/4'
'y+3/4,-x+1/4,-z+3/4'
'-x,-y+1/2,z'
'x,y+1/2,-z'
'y+3/4,-x+3/4,z+1/4'
'-y+3/4,x+3/4,-z+1/4'
'x+1/2,-y+1/2,-z+1/2'
'-x+1/2,y+1/2,z+1/2'
'-y+3/4,-x+3/4,-z+1/4'
'y+3/4,x+3/4,z+1/4'
'-x,y+1/2,-z'
'x,-y+1/2,z'
'y+3/4,x+1/4,-z+3/4'
'-y+3/4,-x+1/4,z+3/4'
loop_
_atom_site_label
_atom_site_fract_x
_atom_site_fract_y
_atom_site_fract_z
_atom_site_occupancy
Rb1 0.000 0.250 0.375 1
Mn1 0.000 0.000 0.000 1
F1 0.000 0.250 0.875 1